(1)
DFT (PBE) results for crystalline Li2Ca2CdAg5 at its relaxed geometry.

It has space group P4/mbm (No. 127), with a = 10.0385 Å, b = 10.0385 Å, c = 4.0417 Å, α = 90.00°, β = 90.00° and γ = 90.00°. Symmetry generates all atoms from Li at (0.1169, 0.3831, 0.0000), Ca at (0.1810, 0.6810, 0.0000), Cd at (0.0000, 0.0000, 0.0000), Ag at (0.0000, 0.5000, 0.5000) and Ag at (0.0592, 0.2080, 0.5000).

The value obtained for the total energy is -2.507 eV per atom. The value obtained for the spin magnetization is 0.00 μB/cell.



(2)
DFT (PBE) results for crystalline LiCa2Cd2Ag5 at its relaxed geometry.

It has space group P4/mbm (No. 127), with a = 10.6181 Å, b = 10.6181 Å, c = 3.9786 Å, α = 90.00°, β = 90.00° and γ = 90.00°. Symmetry generates all atoms from Li at (0.0000, 0.0000, 0.0000), Ca at (0.1715, 0.3285, 0.0000), Cd at (0.1288, 0.6288, 0.0000), Ag at (0.0000, 0.5000, 0.5000) and Ag at (0.0526, 0.8128, 0.5000).

The value obtained for the total energy is -2.367 eV per atom. The value obtained for the spin magnetization is 0.00 μB/cell.



(3)
DFT (PBE) results for crystalline LiCaCd3Ag at its relaxed geometry.

It has space group Cmcm (No. 63), with a = 6.3169 Å, b = 14.2857 Å, c = 6.0737 Å, α = 90.00°, β = 90.00° and γ = 90.00°. Symmetry generates all atoms from Li at (0.0000, 0.1007, 0.2500), Ca at (0.0000, 0.3038, 0.2500), Cd at (0.0000, 0.1463, 0.7500), Cd at (0.2285, 0.5000, 0.0000) and Ag at (0.0000, 0.3471, 0.7500).

The value obtained for the total energy is -1.735 eV per atom. The value obtained for the spin magnetization is 0.00 μB/cell.



(4)
DFT (PBE) results for crystalline Li5Ca2Cd2Ag at its relaxed geometry.

It has space group P4/mbm (No. 127), with a = 11.0891 Å, b = 11.0891 Å, c = 3.7736 Å, α = 90.00°, β = 90.00° and γ = 90.00°. Symmetry generates all atoms from Li at (0.0000, 0.5000, 0.0000), Li at (0.0584, 0.1838, 0.0000), Ca at (0.1731, 0.6731, 0.5000), Cd at (0.1259, 0.3741, 0.5000) and Ag at (0.0000, 0.0000, 0.5000).

The value obtained for the total energy is -1.952 eV per atom. The value obtained for the spin magnetization is 0.00 μB/cell.



(5)
DFT (PBE) results for crystalline LiCaCdAg at its relaxed geometry.

It has space group F-43m (No. 216), with a = 7.0579 Å, b = 7.0579 Å, c = 7.0579 Å, α = 90.00°, β = 90.00° and γ = 90.00°. Symmetry generates all atoms from Li at (0.0000, 0.0000, 0.0000), Ca at (0.2500, 0.2500, 0.2500), Cd at (0.2500, 0.2500, 0.7500) and Ag at (0.0000, 0.0000, 0.5000).

The offset from the most stable computed form comes out at 0.000 eV/atom. The value obtained for the total energy is -2.163 eV per atom. The value obtained for the spin magnetization is 0.00 μB/cell.



(6)
DFT (PBE) results for crystalline LiCaCdAg3 at its relaxed geometry.

It has space group Cmcm (No. 63), with a = 6.0628 Å, b = 13.6765 Å, c = 6.1955 Å, α = 90.00°, β = 90.00° and γ = 90.00°. Symmetry generates all atoms from Li at (0.0000, 0.0944, 0.2500), Ca at (0.0000, 0.3121, 0.2500), Cd at (0.0000, 0.3466, 0.7500), Ag at (0.0000, 0.1387, 0.7500) and Ag at (0.2327, 0.5000, 0.0000).

The value obtained for the total energy is -2.372 eV per atom. The value obtained for the spin magnetization is 0.00 μB/cell.



(7)
DFT (PBE) results for crystalline LiCaCd2Ag4 at its relaxed geometry.

It has space group R-3m (No. 166, hexagonal axes), with a = 4.8454 Å, b = 4.8454 Å, c = 23.6736 Å, α = 90.00°, β = 90.00° and γ = 120.00°. Symmetry generates all atoms from Li at (0.0000, 0.0000, 0.0000), Ca at (0.0000, 0.0000, 0.5000), Cd at (0.0000, 0.0000, 0.2487), Ag at (0.0000, 0.0000, 0.1131) and Ag at (0.0000, 0.0000, 0.3699).

The value obtained for the total energy is -2.340 eV per atom. The value obtained for the spin magnetization is 0.00 μB/cell.



(8)
DFT (PBE) results for crystalline LiCaCdAg at its relaxed geometry.

It has space group I-4m2 (No. 119), with a = 4.5607 Å, b = 4.5607 Å, c = 8.7813 Å, α = 90.00°, β = 90.00° and γ = 90.00°. Symmetry generates all atoms from Li at (0.0000, 0.0000, 0.0000), Ca at (0.0000, 0.0000, 0.5000), Cd at (0.0000, 0.5000, 0.7500) and Ag at (0.0000, 0.5000, 0.2500).

The offset from the most stable computed form comes out at 0.033 eV/atom. The value obtained for the total energy is -2.130 eV per atom. The value obtained for the spin magnetization is 0.00 μB/cell.



(9)
DFT (PBE) results for crystalline Li12Ca2CdAg3 at its relaxed geometry.

It has space group R-3m (No. 166, hexagonal axes), with a = 9.7048 Å, b = 9.7048 Å, c = 13.7327 Å, α = 90.00°, β = 90.00° and γ = 120.00°. Symmetry generates all atoms from Li at (0.0188, 0.5094, 0.2020), Li at (0.0465, 0.5233, 0.6018), Ca at (0.0000, 0.0000, 0.2577), Cd at (0.0000, 0.0000, 0.5000) and Ag at (0.0000, 0.5000, 0.0000).

The value obtained for the total energy is -2.080 eV per atom. The value obtained for the spin magnetization is 0.00 μB/cell.



(10)
DFT (PBE) results for crystalline Ca2Mg3Cd12Ag at its relaxed geometry.

It has space group R-3m (No. 166, hexagonal axes), with a = 6.1241 Å, b = 6.1241 Å, c = 42.7959 Å, α = 90.00°, β = 90.00° and γ = 120.00°. Symmetry generates all atoms from Ca at (0.0000, 0.0000, 0.1476), Mg at (0.0000, 0.5000, 0.0000), Cd at (0.0043, 0.5021, 0.8854), Cd at (0.0125, 0.5062, 0.6102) and Ag at (0.0000, 0.0000, 0.5000).

The value obtained for the total energy is -1.298 eV per atom. The value obtained for the spin magnetization is 0.00 μB/cell.



(11)
DFT (PBE) results for crystalline Ca2Mg5Cd2Ag at its relaxed geometry.

It has space group P4/mbm (No. 127), with a = 11.2178 Å, b = 11.2178 Å, c = 4.0128 Å, α = 90.00°, β = 90.00° and γ = 90.00°. Symmetry generates all atoms from Ca at (0.1738, 0.3262, 0.0000), Mg at (0.0000, 0.5000, 0.5000), Mg at (0.0573, 0.8108, 0.5000), Cd at (0.1284, 0.6284, 0.0000) and Ag at (0.0000, 0.0000, 0.0000).

The value obtained for the total energy is -1.789 eV per atom. The value obtained for the spin magnetization is 0.00 μB/cell.



(12)
DFT (PBE) results for crystalline CaMgCdAg at its relaxed geometry.

It has space group F-43m (No. 216), with a = 7.2084 Å, b = 7.2084 Å, c = 7.2084 Å, α = 90.00°, β = 90.00° and γ = 90.00°. Symmetry generates all atoms from Ca at (0.0000, 0.0000, 0.0000), Mg at (0.0000, 0.0000, 0.5000), Cd at (0.2500, 0.2500, 0.7500) and Ag at (0.2500, 0.2500, 0.2500).

The value obtained for the total energy is -2.089 eV per atom. The value obtained for the spin magnetization is 0.00 μB/cell.



(13)
DFT (PBE) results for crystalline Ca2MgCd12Ag3 at its relaxed geometry.

It has space group R-3m (No. 166, hexagonal axes), with a = 10.1494 Å, b = 10.1494 Å, c = 14.3804 Å, α = 90.00°, β = 90.00° and γ = 120.00°. Symmetry generates all atoms from Ca at (0.0000, 0.0000, 0.2368), Mg at (0.0000, 0.0000, 0.5000), Cd at (0.0067, 0.5034, 0.2001), Cd at (0.0405, 0.5202, 0.6014) and Ag at (0.0000, 0.5000, 0.0000).

The value obtained for the total energy is -1.433 eV per atom. The value obtained for the spin magnetization is 0.00 μB/cell.



(14)
DFT (PBE) results for crystalline Ca2Mg5CdAg2 at its relaxed geometry.

It has space group P4/mbm (No. 127), with a = 10.3660 Å, b = 10.3660 Å, c = 4.5153 Å, α = 90.00°, β = 90.00° and γ = 90.00°. Symmetry generates all atoms from Ca at (0.1779, 0.3221, 0.0000), Mg at (0.0000, 0.5000, 0.5000), Mg at (0.0668, 0.7942, 0.5000), Cd at (0.0000, 0.0000, 0.0000) and Ag at (0.1150, 0.6150, 0.0000).

The value obtained for the total energy is -2.051 eV per atom. The value obtained for the spin magnetization is 0.00 μB/cell.



(15)
DFT (PBE) results for crystalline Ca2Mg12CdAg3 at its relaxed geometry.

It has space group R-3m (No. 166, hexagonal axes), with a = 10.2348 Å, b = 10.2348 Å, c = 14.6141 Å, α = 90.00°, β = 90.00° and γ = 120.00°. Symmetry generates all atoms from Ca at (0.0000, 0.0000, 0.1195), Mg at (0.0115, 0.5057, 0.1932), Mg at (0.0414, 0.5207, 0.3962), Cd at (0.0000, 0.0000, 0.5000) and Ag at (0.0000, 0.5000, 0.0000).

The value obtained for the total energy is -1.747 eV per atom. The value obtained for the spin magnetization is 0.00 μB/cell.



(16)
DFT (PBE) results for crystalline Ca2MgCd6Ag at its relaxed geometry.

It has space group R-3m (No. 166, hexagonal axes), with a = 7.2114 Å, b = 7.2114 Å, c = 35.9531 Å, α = 90.00°, β = 90.00° and γ = 120.00°. Symmetry generates all atoms from Ca at (0.0000, 0.0000, 0.1049), Ca at (0.0000, 0.0000, 0.2802), Mg at (0.0000, 0.0000, 0.4266), Cd at (0.0568, 0.5284, 0.3022), Cd at (0.0683, 0.5341, 0.8647), Ag at (0.0000, 0.0000, 0.0000) and Ag at (0.0000, 0.0000, 0.5000).

The value obtained for the total energy is -1.488 eV per atom. The value obtained for the spin magnetization is 0.00 μB/cell.



(17)
DFT (PBE) results for crystalline NaCa2Cd12Ag3 at its relaxed geometry.

It has space group R-3m (No. 166, hexagonal axes), with a = 9.7069 Å, b = 9.7069 Å, c = 19.2314 Å, α = 90.00°, β = 90.00° and γ = 120.00°. Symmetry generates all atoms from Na at (0.0000, 0.0000, 0.0000), Ca at (0.0000, 0.0000, 0.4092), Cd at (0.0143, 0.5072, 0.8048), Cd at (0.0383, 0.5192, 0.3578) and Ag at (0.0000, 0.5000, 0.5000).

The value obtained for the total energy is -1.288 eV per atom. The value obtained for the spin magnetization is 0.00 μB/cell.



(18)
DFT (PBE) results for crystalline CaCdNiAg at its relaxed geometry.

It has space group F-43m (No. 216), with a = 6.8136 Å, b = 6.8136 Å, c = 6.8136 Å, α = 90.00°, β = 90.00° and γ = 90.00°. Symmetry generates all atoms from Ca at (0.0000, 0.0000, 0.0000), Cd at (0.0000, 0.0000, 0.5000), Ni at (0.2500, 0.2500, 0.2500) and Ag at (0.2500, 0.2500, 0.7500).

The value obtained for the total energy is -2.961 eV per atom. The value obtained for the spin magnetization is 0.00 μB/cell.



(19)
DFT (PBE) results for crystalline CaCdAg2O at its relaxed geometry.

It has space group P4/mmm (No. 123), with a = 5.3324 Å, b = 5.3324 Å, c = 4.2414 Å, α = 90.00°, β = 90.00° and γ = 90.00°. Symmetry generates all atoms from Ca at (0.0000, 0.0000, 0.0000), Cd at (0.5000, 0.5000, 0.5000), Ag at (0.0000, 0.5000, 0.5000) and O at (0.5000, 0.5000, 0.0000).

The value obtained for the total energy is -2.762 eV per atom. The value obtained for the spin magnetization is 0.00 μB/cell.